(1)
# Na3Sm3InTe8 | Alexandria | PBE | optimized geometry
# space-group type	C2/m, No. 12
# E_tot	-61.48	eV/cell
# total magnetization	0.00	μB/f.u.
data_Na3Sm3InTe8
_chemical_formula_sum 'Na3 Sm3 In1 Te8'
_cell_length_a 8.823
_cell_length_b 8.839
_cell_length_c 9.263
_cell_angle_alpha 118.57
_cell_angle_beta 90.00
_cell_angle_gamma 119.94
_symmetry_space_group_name_H-M 'P 1'
_symmetry_Int_Tables_number 1
loop_
_symmetry_equiv_pos_as_xyz
'x,y,z'
loop_
_atom_site_label
_atom_site_fract_x
_atom_site_fract_y
_atom_site_fract_z
Te1 0.752 0.992 0.732
In1 0.000 0.000 0.500
Sm1 0.500 0.000 0.500
Te2 0.248 0.008 0.268
Na1 0.000 0.500 0.000
Na2 0.500 0.500 0.000
Na3 0.000 0.000 0.000
Te3 0.240 0.992 0.732
Te4 0.240 0.480 0.732
Te5 0.746 0.491 0.737
Te6 0.760 0.520 0.268
Sm2 0.500 0.500 0.500
Sm3 0.000 0.500 0.500
Te7 0.760 0.008 0.268
Te8 0.254 0.509 0.263


(2)
# Ba2HgF6 | Alexandria | PBE | optimized geometry
# space-group type	Immm, No. 71
# offset from the most stable computed form	0	meV per atom
# total magnetization	0.05	μB/f.u.
data_Ba2HgF6
_chemical_formula_sum 'Ba2 Hg1 F6'
_cell_length_a 4.316
_cell_length_b 6.086
_cell_length_c 7.400
_cell_angle_alpha 114.28
_cell_angle_beta 106.96
_cell_angle_gamma 90.00
_symmetry_space_group_name_H-M 'P 1'
_symmetry_Int_Tables_number 1
loop_
_symmetry_equiv_pos_as_xyz
'x,y,z'
loop_
_atom_site_label
_atom_site_fract_x
_atom_site_fract_y
_atom_site_fract_z
F1 0.844 0.082 0.687
F2 0.500 0.227 0.000
F3 0.500 0.773 0.000
F4 0.156 0.918 0.313
F5 0.156 0.395 0.313
Ba1 0.664 0.664 0.327
F6 0.844 0.605 0.687
Hg1 0.000 0.000 0.000
Ba2 0.336 0.336 0.673


(3)
# Nd2ZnSi2Ir5 | Alexandria | PBE | optimized geometry
# space-group type	P4/mbm, No. 127
# E_tot	-144.92	eV/cell
# total magnetization	0.00	μB/f.u.
data_Nd2ZnSi2Ir5
_chemical_formula_sum 'Nd4 Zn2 Si4 Ir10'
_cell_length_a 3.522
_cell_length_b 9.870
_cell_length_c 9.870
_cell_angle_alpha 90.00
_cell_angle_beta 90.00
_cell_angle_gamma 90.00
_symmetry_space_group_name_H-M 'P 1'
_symmetry_Int_Tables_number 1
loop_
_symmetry_equiv_pos_as_xyz
'x,y,z'
loop_
_atom_site_label
_atom_site_fract_x
_atom_site_fract_y
_atom_site_fract_z
Nd1 0.000 0.824 0.676
Ir1 0.500 0.787 0.934
Ir2 0.500 0.287 0.566
Zn1 0.000 0.500 0.500
Ir3 0.500 0.566 0.713
Ir4 0.500 0.934 0.213
Si1 0.000 0.376 0.124
Ir5 0.500 0.713 0.434
Si2 0.000 0.876 0.376
Si3 0.000 0.624 0.876
Ir6 0.500 0.434 0.287
Ir7 0.500 0.213 0.066
Nd2 0.000 0.324 0.824
Ir8 0.500 0.066 0.787
Si4 0.000 0.124 0.624
Ir9 0.500 0.000 0.500
Nd3 0.000 0.176 0.324
Zn2 0.000 0.000 0.000
Nd4 0.000 0.676 0.176
Ir10 0.500 0.500 0.000


(4)
# CeSmEr2 | Alexandria | PBE | optimized geometry
# space-group type	R-3m, No. 166
# offset from the most stable computed form	3	meV per atom
# total magnetization	0.66	μB/f.u.
data_CeSmEr2
_chemical_formula_sum 'Ce1 Sm1 Er2'
_cell_length_a 3.527
_cell_length_b 3.527
_cell_length_c 11.645
_cell_angle_alpha 81.29
_cell_angle_beta 81.29
_cell_angle_gamma 60.00
_symmetry_space_group_name_H-M 'P 1'
_symmetry_Int_Tables_number 1
loop_
_symmetry_equiv_pos_as_xyz
'x,y,z'
loop_
_atom_site_label
_atom_site_fract_x
_atom_site_fract_y
_atom_site_fract_z
Er1 0.252 0.252 0.245
Sm1 0.500 0.500 0.500
Ce1 0.000 0.000 0.000
Er2 0.748 0.748 0.755